[1]
VASP calculation (meta-GGA SCAN) on a PBEsol-optimized structure of RbYSe2.

Uncorrected formation energy in eV per formula unit: -7.066
Electronic total energy in eV/atom: -23.95
Magnetization in μB/f.u.: 0.00

abc: 7.344 7.344 7.344
angles: 97.12 115.98 115.98
Positions (direct):
Se1 0.068 0.693 0.125
Se2 0.932 0.057 0.625
Se3 0.432 0.375 0.307
Se4 0.568 0.875 0.943
Rb1 0.500 0.250 0.750
Rb2 0.000 0.500 0.500
Y1 0.500 0.750 0.250
Y2 0.000 0.000 0.000



[2]
VASP calculation (meta-GGA SCAN) on a PBEsol-optimized structure of RbZnSe3.

Uncorrected formation energy in eV per formula unit: 5.161
Electronic total energy in eV/atom: -17.87
Magnetization in μB/f.u.: 5.00

abc: 6.174 6.174 6.174
angles: 90.00 90.00 90.00
Positions (direct):
Rb1 0.000 0.000 0.000
Se1 0.000 0.000 0.500
Se2 0.000 0.500 0.000
Se3 0.500 0.000 0.000
Zn1 0.500 0.500 0.500



[3]
VASP calculation (meta-GGA SCAN) on a PBEsol-optimized structure of RbZr3Se.

Uncorrected formation energy in eV per formula unit: 1.879
Electronic total energy in eV/atom: -26.21
Magnetization in μB/f.u.: 0.00

abc: 5.139 5.139 5.139
angles: 90.00 90.00 90.00
Positions (direct):
Zr1 0.500 0.000 0.000
Zr2 0.000 0.500 0.000
Zr3 0.000 0.000 0.500
Se1 0.000 0.000 0.000
Rb1 0.500 0.500 0.500



[4]
VASP calculation (meta-GGA SCAN) on a PBEsol-optimized structure of RbSrSi2.

Uncorrected formation energy in eV per formula unit: 1.732
Electronic total energy in eV/atom: -15.33
Magnetization in μB/f.u.: 0.00

abc: 5.431 5.431 5.431
angles: 60.00 60.00 60.00
Positions (direct):
Si1 0.750 0.750 0.750
Si2 0.250 0.250 0.250
Rb1 0.000 0.000 0.000
Sr1 0.500 0.500 0.500



[5]
VASP calculation (meta-GGA SCAN) on a PBEsol-optimized structure of RbTa3Si.

Uncorrected formation energy in eV per formula unit: 17.421
Electronic total energy in eV/atom: -42.62
Magnetization in μB/f.u.: 0.00

abc: 4.716 4.716 4.716
angles: 90.00 90.00 90.00
Positions (direct):
Rb1 0.000 0.000 0.000
Ta1 0.500 0.000 0.000
Ta2 0.000 0.500 0.000
Ta3 0.000 0.000 0.500
Si1 0.500 0.500 0.500



[6]
VASP calculation (meta-GGA SCAN) on a PBEsol-optimized structure of RbTa2Si.

Uncorrected formation energy in eV per formula unit: 5.498
Electronic total energy in eV/atom: -39.61
Magnetization in μB/f.u.: 0.00

abc: 4.998 4.998 9.931
angles: 104.57 104.57 90.00
Positions (direct):
Ta1 0.125 0.375 0.750
Ta2 0.625 0.375 0.750
Ta3 0.625 0.375 0.250
Ta4 0.625 0.875 0.250
Rb1 0.250 0.750 0.500
Rb2 0.000 0.000 0.000
Si1 0.500 0.500 0.000
Si2 0.750 0.250 0.500



Please write out number 2 again, unchanged.
VASP calculation (meta-GGA SCAN) on a PBEsol-optimized structure of RbZnSe3.

Uncorrected formation energy in eV per formula unit: 5.161
Electronic total energy in eV/atom: -17.87
Magnetization in μB/f.u.: 5.00

abc: 6.174 6.174 6.174
angles: 90.00 90.00 90.00
Positions (direct):
Rb1 0.000 0.000 0.000
Se1 0.000 0.000 0.500
Se2 0.000 0.500 0.000
Se3 0.500 0.000 0.000
Zn1 0.500 0.500 0.500